No. 1
Here is a relaxed structure of Sr4MnTl from Alexandria. Energies are from PBE.

Properties
- DFT total energy (eV per atom) = -2.389
- energy of formation from the pure elements (kJ/mol of formula units) = 378.9

```
data_Sr4MnTl
_chemical_formula_sum 'Sr4 Mn1 Tl1'
_space_group_name_H-M_alt 'P 1'
_space_group_IT_number 1
_cell_length_a 7.1875
_cell_length_b 7.1875
_cell_length_c 7.1875
_cell_angle_alpha 60.00
_cell_angle_beta 60.00
_cell_angle_gamma 60.00
loop_
_space_group_symop_operation_xyz
'x,y,z'
loop_
_atom_site_label
_atom_site_fract_x
_atom_site_fract_y
_atom_site_fract_z
_atom_site_occupancy
Sr1 0.1249 0.1249 0.1249 1
Sr2 0.1249 0.1249 0.6253 1
Sr3 0.1249 0.6253 0.1249 1
Sr4 0.6253 0.1249 0.1249 1
Mn1 0.7500 0.7500 0.7500 1
Tl1 0.5000 0.5000 0.5000 1
```



No. 2
Here is a relaxed structure of Sr2MnTl from Alexandria. Energies are from PBE.

Properties
- DFT total energy (eV per atom) = -3.607
- energy of formation from the pure elements (kJ/mol of formula units) = 45.3

```
data_Sr2MnTl
_chemical_formula_sum 'Sr2 Mn1 Tl1'
_space_group_name_H-M_alt 'P 1'
_space_group_IT_number 1
_cell_length_a 5.6020
_cell_length_b 5.6020
_cell_length_c 4.1666
_cell_angle_alpha 90.00
_cell_angle_beta 90.00
_cell_angle_gamma 90.28
loop_
_space_group_symop_operation_xyz
'x,y,z'
loop_
_atom_site_label
_atom_site_fract_x
_atom_site_fract_y
_atom_site_fract_z
_atom_site_occupancy
Sr1 0.0000 0.5000 0.0000 1
Sr2 0.5000 0.0000 0.0000 1
Mn1 0.0000 0.0000 0.5000 1
Tl1 0.5000 0.5000 0.5000 1
```



No. 3
Here is a relaxed structure of Sr2MnTl from Alexandria. Energies are from PBE.

Properties
- DFT total energy (eV per atom) = -3.426
- energy of formation from the pure elements (kJ/mol of formula units) = 115.3

```
data_Sr2MnTl
_chemical_formula_sum 'Sr2 Mn1 Tl1'
_space_group_name_H-M_alt 'P 1'
_space_group_IT_number 1
_cell_length_a 10.3334
_cell_length_b 10.3334
_cell_length_c 10.3334
_cell_angle_alpha 22.34
_cell_angle_beta 22.34
_cell_angle_gamma 22.34
loop_
_space_group_symop_operation_xyz
'x,y,z'
loop_
_atom_site_label
_atom_site_fract_x
_atom_site_fract_y
_atom_site_fract_z
_atom_site_occupancy
Sr1 0.2459 0.2459 0.2459 1
Sr2 0.7541 0.7541 0.7541 1
Mn1 0.5000 0.5000 0.5000 1
Tl1 0.0000 0.0000 0.0000 1
```



No. 4
Here is a relaxed structure of Sr2MnTl from Alexandria. Energies are from PBE.

Properties
- DFT total energy (eV per atom) = -3.604
- energy of formation from the pure elements (kJ/mol of formula units) = 46.6

```
data_Sr2MnTl
_chemical_formula_sum 'Sr2 Mn1 Tl1'
_space_group_name_H-M_alt 'P 1'
_space_group_IT_number 1
_cell_length_a 3.9701
_cell_length_b 4.1076
_cell_length_c 7.9929
_cell_angle_alpha 90.00
_cell_angle_beta 90.00
_cell_angle_gamma 90.00
loop_
_space_group_symop_operation_xyz
'x,y,z'
loop_
_atom_site_label
_atom_site_fract_x
_atom_site_fract_y
_atom_site_fract_z
_atom_site_occupancy
Sr1 0.0000 0.0000 0.2421 1
Sr2 0.0000 0.0000 0.7579 1
Mn1 0.5000 0.5000 0.0000 1
Tl1 0.5000 0.5000 0.5000 1
```



No. 5
Here is a relaxed structure of Sr2Mn2Tl from Alexandria. Energies are from PBE.

Properties
- DFT total energy (eV per atom) = -4.476
- energy of formation from the pure elements (kJ/mol of formula units) = 163.1

```
data_Sr2Mn2Tl
_chemical_formula_sum 'Sr4 Mn4 Tl2'
_space_group_name_H-M_alt 'P 1'
_space_group_IT_number 1
_cell_length_a 7.5475
_cell_length_b 7.5475
_cell_length_c 4.9901
_cell_angle_alpha 90.00
_cell_angle_beta 90.00
_cell_angle_gamma 90.00
loop_
_space_group_symop_operation_xyz
'x,y,z'
loop_
_atom_site_label
_atom_site_fract_x
_atom_site_fract_y
_atom_site_fract_z
_atom_site_occupancy
Sr1 0.1748 0.3252 0.0000 1
Sr2 0.3252 0.8252 0.0000 1
Sr3 0.6748 0.1748 0.0000 1
Sr4 0.8252 0.6748 0.0000 1
Mn1 0.1257 0.6257 0.5000 1
Mn2 0.3743 0.1257 0.5000 1
Mn3 0.6257 0.8743 0.5000 1
Mn4 0.8743 0.3743 0.5000 1
Tl1 0.0000 0.0000 0.5000 1
Tl2 0.5000 0.5000 0.5000 1
```



No. 6
Here is a relaxed structure of Sr3MnTl from Alexandria. Energies are from PBE.

Properties
- DFT total energy (eV per atom) = -2.829
- energy of formation from the pure elements (kJ/mol of formula units) = 235.0

```
data_Sr3MnTl
_chemical_formula_sum 'Sr3 Mn1 Tl1'
_space_group_name_H-M_alt 'P 1'
_space_group_IT_number 1
_cell_length_a 6.3344
_cell_length_b 6.3344
_cell_length_c 6.3344
_cell_angle_alpha 90.00
_cell_angle_beta 90.00
_cell_angle_gamma 90.00
loop_
_space_group_symop_operation_xyz
'x,y,z'
loop_
_atom_site_label
_atom_site_fract_x
_atom_site_fract_y
_atom_site_fract_z
_atom_site_occupancy
Sr1 0.0000 0.0000 0.5000 1
Sr2 0.0000 0.5000 0.0000 1
Sr3 0.5000 0.0000 0.0000 1
Mn1 0.5000 0.5000 0.5000 1
Tl1 0.0000 0.0000 0.0000 1
```